1.
Compound: LiAc3Ce3Te8
Source: Alexandria via LeMat-Bulk
Functional: PBE
Structure: relaxed

```
LiAc3Ce3Te8
1.0
4.569 2.638 7.584
-4.569 2.638 7.584
0.000 -5.276 7.584
Li Ac Ce Te
1 3 3 8
Direct
0.000 0.000 0.000
0.000 0.000 0.500
0.000 0.500 0.000
0.500 0.000 0.000
0.000 0.500 0.500
0.500 0.000 0.500
0.500 0.500 0.000
0.244 0.244 0.746
0.244 0.746 0.244
0.254 0.756 0.756
0.255 0.255 0.255
0.745 0.745 0.745
0.746 0.244 0.244
0.756 0.254 0.756
0.756 0.756 0.254
```

Results
The calculation puts the calculated total energy at -5.194 eV/atom. Its theoretical density is 6.445 g/cm3. The space group is R-3m (166).

2.
Compound: KTa2In
Source: Alexandria via LeMat-Bulk
Functional: PBE
Structure: relaxed

```
KTa2In
1.0
3.826 0.000 0.000
0.000 3.826 0.000
0.000 0.000 7.821
K Ta In
1 2 1
Direct
0.000 0.000 0.000
0.500 0.500 0.352
0.500 0.500 0.648
0.000 0.000 0.500
```

Results
The formation energy from the elements is 1046 meV per atom. Its theoretical density is 7.482 g/cm3. The space group is P4/mmm (123).

3.
Compound: Be2NiGe2
Source: Alexandria via LeMat-Bulk
Functional: PBE
Structure: relaxed

```
Be2NiGe2
1.0
6.155 0.000 0.000
0.000 6.155 0.000
0.000 0.000 3.527
Be Ni Ge
4 2 4
Direct
0.135 0.365 0.000
0.365 0.865 0.000
0.635 0.135 0.000
0.865 0.635 0.000
0.000 0.000 0.500
0.500 0.500 0.500
0.154 0.654 0.500
0.346 0.154 0.500
0.654 0.846 0.500
0.846 0.346 0.500
```

Results
As for the energy above the lowest structure with this stoichiometry: 0 meV per atom. The formation energy from the elements is 301 meV per atom. Its theoretical density is 5.518 g/cm3. The space group is P4/mbm (127).

4.
Compound: ZnHgF6
Source: Alexandria via LeMat-Bulk
Functional: PBE
Structure: relaxed

```
ZnHgF6
1.0
5.663 0.000 0.000
0.000 5.614 0.000
-5.396 0.000 7.887
Zn Hg F
2 2 12
Direct
0.000 0.000 0.000
0.000 0.500 0.500
0.500 0.000 0.500
0.500 0.500 0.000
0.114 0.224 0.444
0.114 0.276 0.944
0.257 0.694 0.452
0.257 0.806 0.952
0.343 0.038 0.245
0.343 0.462 0.745
0.657 0.538 0.255
0.657 0.962 0.755
0.743 0.194 0.048
0.743 0.306 0.548
0.886 0.724 0.056
0.886 0.776 0.556
```

Results
The calculation puts the calculated total energy at -2.986 eV/atom. Its theoretical density is 5.034 g/cm3. The space group is P2_1/c (14).

5.
Compound: VTcSn
Source: Alexandria via LeMat-Bulk
Functional: PBE
Structure: relaxed

```
VTcSn
1.0
4.336 0.000 0.000
-2.168 3.755 0.000
0.000 0.000 3.022
V Tc Sn
1 1 1
Direct
0.000 0.000 0.000
0.333 0.667 0.188
0.667 0.333 0.605
```

Results
As for the energy above the lowest structure with this stoichiometry: 185 meV per atom. The formation energy from the elements is 130 meV per atom. Its theoretical density is 9.034 g/cm3. The space group is P3m1 (156).

6.
Compound: MgCuAu2
Source: Alexandria via LeMat-Bulk
Functional: PBE
Structure: relaxed

```
MgCuAu2
1.0
3.047 0.000 0.000
0.000 3.824 0.000
0.000 0.000 5.729
Mg Cu Au
1 1 2
Direct
0.000 0.000 0.000
0.500 0.500 0.736
0.000 0.000 0.529
0.500 0.500 0.231
```

Results
The formation energy from the elements is -272 meV per atom. Its theoretical density is 11.987 g/cm3. The space group is Pmm2 (25).

7.
Compound: TeP2Os
Source: Alexandria via LeMat-Bulk
Functional: PBE
Structure: relaxed

```
TeP2Os
1.0
5.028 0.000 0.000
0.000 3.025 0.000
-2.382 0.000 4.851
Te P Os
1 2 1
Direct
0.000 0.000 0.000
0.412 0.500 0.661
0.588 0.500 0.339
0.000 0.000 0.500
```

Results
As for the energy above the lowest structure with this stoichiometry: 83 meV per atom. Its theoretical density is 8.549 g/cm3. The space group is P2/m (10).

8.
Compound: Pm2DyHo4
Source: Alexandria via LeMat-Bulk
Functional: PBE
Structure: relaxed

```
Pm2DyHo4
1.0
16.810 0.000 0.000
0.000 3.536 0.000
-4.379 0.000 7.580
Pm Dy Ho
4 2 8
Direct
0.070 0.000 0.430
0.430 0.500 0.570
0.570 0.500 0.430
0.930 0.000 0.570
0.000 0.000 0.000
0.500 0.500 0.000
0.145 0.500 0.845
0.205 0.500 0.293
0.295 0.000 0.707
0.355 0.000 0.155
0.645 0.000 0.845
0.705 0.000 0.293
0.795 0.500 0.707
0.855 0.500 0.155
```

Results
As for the energy above the lowest structure with this stoichiometry: 38 meV per atom. The formation energy from the elements is 50 meV per atom. Its theoretical density is 8.198 g/cm3. The space group is C2/m (12).

9.
Compound: Ac4Zn3Ni
Source: Alexandria via LeMat-Bulk
Functional: PBE
Structure: relaxed

```
Ac4Zn3Ni
1.0
3.856 0.000 0.000
0.000 3.856 0.000
0.000 0.000 15.490
Ac Zn Ni
4 3 1
Direct
0.000 0.000 0.114
0.000 0.000 0.372
0.000 0.000 0.628
0.000 0.000 0.886
0.500 0.500 0.246
0.500 0.500 0.500
0.500 0.500 0.754
0.500 0.500 0.000
```

Results
The formation energy from the elements is -216 meV per atom. Its theoretical density is 8.383 g/cm3. The space group is P4/mmm (123).

10.
Compound: Nd3Zn2Au4
Source: Alexandria via LeMat-Bulk
Functional: PBE
Structure: relaxed

```
Nd3Zn2Au4
1.0
5.404 -2.332 0.000
5.404 2.332 0.000
-3.673 0.000 8.120
Nd Zn Au
3 2 4
Direct
0.000 0.000 0.000
0.350 0.350 0.316
0.650 0.650 0.684
0.355 0.355 0.685
0.645 0.645 0.315
0.080 0.080 0.401
0.283 0.283 0.932
0.717 0.717 0.068
0.920 0.920 0.599
```

Results
The formation energy from the elements is -704 meV per atom. Its theoretical density is 10.964 g/cm3. The space group is C2/m (12).

11.
Compound: Hf4TiSn
Source: Alexandria via LeMat-Bulk
Functional: PBE
Structure: relaxed

```
Hf4TiSn
1.0
4.632 0.000 0.000
0.000 4.632 0.000
0.000 0.000 6.897
Hf Ti Sn
4 1 1
Direct
0.000 0.500 0.226
0.000 0.500 0.774
0.500 0.000 0.226
0.500 0.000 0.774
0.000 0.000 0.000
0.500 0.500 0.500
```

Results
The formation energy from the elements is 402 meV per atom. Its theoretical density is 9.882 g/cm3. The space group is P4/mmm (123).

12.
Compound: Cd2InCuSe4
Source: Alexandria via LeMat-Bulk
Functional: PBE
Structure: relaxed

```
Cd2InCuSe4
1.0
15.851 0.000 0.000
0.000 4.269 0.000
-3.441 0.000 6.535
Cd In Cu Se
4 2 2 8
Direct
0.000 0.000 0.000
0.003 0.500 0.532
0.500 0.500 0.000
0.503 0.000 0.532
0.248 0.500 0.082
0.748 0.000 0.082
0.248 0.000 0.608
0.748 0.500 0.608
0.193 0.000 0.228
0.194 0.500 0.686
0.423 0.000 0.773
0.437 0.500 0.282
0.693 0.500 0.228
0.694 0.000 0.686
0.923 0.500 0.773
0.937 0.000 0.282
```

Results
The calculation puts the calculated total energy at -3.333 eV/atom. Its theoretical density is 5.400 g/cm3. The space group is Cm (8).